NaAlHgGe: optimized geometry, GGA-PBE.

Cell and atoms, written as POSCAR:
```
NaAlHgGe
1.0
4.881 0.000 0.000
2.440 4.227 0.000
2.440 1.409 3.985
Al Na Ge Hg
1 1 1 1
direct
0.750 0.750 0.750
0.250 0.250 0.250
0.000 0.000 0.000
0.500 0.500 0.500
```

---

YScSe3: optimized geometry, GGA-PBE.

Properties
- ΔE_f (raw) (eV/atom) = -1.7760

Cell and atoms, written as POSCAR:
```
YScSe3
1.0
-2.263 5.396 3.835
-4.043 -5.651 -0.816
6.074 -0.668 4.524
Y Se Sc
2 6 2
direct
0.074 0.408 0.785
0.764 0.788 0.855
0.183 0.297 0.084
0.029 0.655 0.595
0.366 0.264 0.595
0.855 0.599 0.084
0.484 0.927 0.084
0.638 0.927 0.595
0.437 0.133 0.873
0.258 0.776 0.337
```

---

Tb4Pm2Sm5: optimized geometry, GGA-PBE.

Cell and atoms, written as POSCAR:
```
Tb4Pm2Sm5
1.0
3.532 0.000 0.000
0.000 9.180 0.000
-1.766 -4.590 11.737
Sm Tb Pm
5 4 2
direct
0.855 0.054 0.711
0.500 0.000 0.000
0.145 0.343 0.289
0.855 0.657 0.711
0.145 0.946 0.289
0.403 0.403 0.807
0.000 0.309 0.000
0.597 0.597 0.193
0.000 0.691 0.000
0.269 0.269 0.537
0.731 0.731 0.463
```

---

LiBe3V: optimized geometry, GGA-PBE.

Cell and atoms, written as POSCAR:
```
LiBe3V
1.0
4.452 0.000 0.000
0.000 4.452 0.000
0.000 0.000 4.452
V Be Li
1 3 1
direct
0.000 0.000 0.000
0.500 0.000 0.000
0.000 0.500 0.000
0.000 0.000 0.500
0.500 0.500 0.500
```

---

SrCuTc2: optimized geometry, GGA-PBE.

Cell and atoms, written as POSCAR:
```
SrCuTc2
1.0
4.944 0.000 0.000
0.000 3.840 0.000
0.000 0.000 3.840
Tc Cu Sr
2 1 1
direct
0.000 0.000 0.000
0.000 0.500 0.500
0.500 0.500 0.000
0.500 0.000 0.500
```

---

TaFe2Se: optimized geometry, GGA-PBE.

Properties
- ΔE_f (raw) (eV/atom) = 0.2635

Cell and atoms, written as POSCAR:
```
TaFe2Se
1.0
4.881 0.006 0.000
2.059 4.426 0.000
-3.470 -2.216 2.622
Se Fe Ta
1 2 1
direct
0.250 0.750 0.500
0.500 0.500 0.000
0.000 0.000 0.000
0.750 0.250 0.500
```

---

BaLiMn2Br8: optimized geometry, GGA-PBE.

Properties
- ΔE_f (raw) (eV/atom) = -1.1355

Cell and atoms, written as POSCAR:
```
BaLiMn2Br8
1.0
6.935 0.000 0.000
-3.467 6.005 0.000
0.000 0.000 9.207
Br Ba Mn Li
8 1 2 1
direct
0.667 0.333 0.992
0.301 0.993 0.689
0.692 0.699 0.689
0.308 0.301 0.311
0.333 0.667 0.008
0.993 0.692 0.311
0.007 0.308 0.689
0.699 0.007 0.311
0.000 0.000 0.000
0.667 0.333 0.255
0.333 0.667 0.745
0.000 0.000 0.500
```

---

LaH6RuAu: optimized geometry, GGA-PBE.

Cell and atoms, written as POSCAR:
```
LaH6RuAu
1.0
4.884 0.000 0.000
2.442 4.230 0.000
0.000 0.000 4.380
La H Ru Au
1 6 1 1
direct
0.000 0.000 0.000
0.041 0.479 0.228
0.480 0.479 0.772
0.041 0.480 0.772
0.480 0.041 0.228
0.479 0.480 0.228
0.479 0.041 0.772
0.333 0.333 0.500
0.667 0.667 0.500
```

---

Ba5Tl2H2: optimized geometry, GGA-PBE.

Cell and atoms, written as POSCAR:
```
Ba5Tl2H2
1.0
6.084 0.000 0.000
-3.042 7.257 0.090
0.000 -1.142 7.380
Ba H Tl
5 2 2
direct
0.664 0.327 0.917
0.336 0.673 0.083
0.000 0.000 0.000
0.848 0.696 0.465
0.152 0.304 0.535
0.167 0.334 0.893
0.833 0.666 0.107
0.566 0.132 0.333
0.434 0.868 0.667
```

---

NaNd2Ho3Te6: optimized geometry, GGA-PBE.

Properties
- ΔE_f (raw) (eV/atom) = -1.3384

Cell and atoms, written as POSCAR:
```
NaNd2Ho3Te6
1.0
4.383 0.000 0.000
0.000 8.920 0.265
-2.191 -2.627 9.329
Ho Na Te Nd
3 1 6 2
direct
0.500 0.500 0.000
0.167 0.829 0.334
0.833 0.171 0.666
0.500 0.000 0.000
0.332 0.924 0.663
0.668 0.076 0.337
0.001 0.745 0.002
0.339 0.408 0.677
0.999 0.255 0.998
0.661 0.592 0.323
0.828 0.654 0.656
0.172 0.346 0.344
```

---

SrYIn4: optimized geometry, GGA-PBE.

Cell and atoms, written as POSCAR:
```
SrYIn4
1.0
-2.920 -5.409 0.019
-6.126 -0.188 -0.467
-2.627 -2.093 -5.148
In Y Sr
4 1 1
direct
0.375 0.876 0.375
0.375 0.375 0.876
0.876 0.375 0.375
0.375 0.375 0.375
0.000 0.000 0.000
0.750 0.750 0.750
```

---

AlCd2Co: optimized geometry, GGA-PBE.

Cell and atoms, written as POSCAR:
```
AlCd2Co
1.0
-0.520 -0.141 -4.519
1.683 -3.498 -2.376
-2.818 -3.044 -1.872
Cd Al Co
2 1 1
direct
0.000 0.000 0.000
0.250 0.250 0.250
0.500 0.500 0.500
0.750 0.750 0.750
```

---

Which M_tot belongs to each record? In order, 0.00; 0.00; 0.00; 3.43; 0.00; 3.05; 9.00; 0.00; 0.00; 0.00; 0.00; 0.42 μB/cell.
Which E belongs to each record? In order, -9.89; -64.26; -49.45; -15.74; -23.02; -31.21; -49.18; -39.52; -23.96; -59.50; -21.09; -11.76 eV for the cell shown.
Which Fermi-level density of states belongs to each record? In order, 1.019; 0.000; 16.375; 3.547; 3.715; 4.641; 9.962; 4.035; 7.061; 3.889; 4.105; 2.351 states/eV/f.u..